(1)
! Li6GaPd12, relaxed, DFT PBE-GGA; values from VASP
&SYSTEM
  ibrav = 0, nat = 19, ntyp = 3
/
ATOMIC_SPECIES
Li 6.94 Li.upf
Ga 69.72 Ga.upf
Pd 106.42 Pd.upf
CELL_PARAMETERS angstrom
5.977 3.451 2.245
-5.977 3.451 2.245
0.000 -6.901 2.245
ATOMIC_POSITIONS crystal
Li 0.056 0.571 0.363
Li 0.363 0.056 0.571
Li 0.429 0.637 0.944
Li 0.571 0.363 0.056
Li 0.637 0.944 0.429
Li 0.944 0.429 0.637
Ga 0.000 0.000 0.000
Pd 0.103 0.164 0.738
Pd 0.164 0.738 0.103
Pd 0.209 0.313 0.476
Pd 0.262 0.897 0.836
Pd 0.313 0.476 0.209
Pd 0.476 0.209 0.313
Pd 0.524 0.791 0.687
Pd 0.687 0.524 0.791
Pd 0.738 0.103 0.164
Pd 0.791 0.687 0.524
Pd 0.836 0.262 0.897
Pd 0.897 0.836 0.262
! - E (eV/atom) = -4.411
! - energy of formation from the pure elements (kcal/mol of atoms) = -8.5
! - N(E_F) (states/eV/cell) = 13.85

(2)
! HfCd2Ag3, relaxed, DFT PBE-GGA; values from VASP
&SYSTEM
  ibrav = 0, nat = 6, ntyp = 3
/
ATOMIC_SPECIES
Hf 178.49 Hf.upf
Cd 112.41 Cd.upf
Ag 107.87 Ag.upf
CELL_PARAMETERS angstrom
3.237 0.000 0.000
0.000 3.237 0.000
0.000 0.000 11.172
ATOMIC_POSITIONS crystal
Hf 0.000 0.000 0.000
Cd 0.000 0.000 0.333
Cd 0.000 0.000 0.667
Ag 0.500 0.500 0.168
Ag 0.500 0.500 0.500
Ag 0.500 0.500 0.832
! - E (eV/atom) = -3.405
! - energy of formation from the pure elements (kcal/mol of atoms) = -0.4
! - N(E_F) (states/eV/cell) = 2.51

(3)
! La3CrBi, relaxed, DFT PBE-GGA; values from VASP
&SYSTEM
  ibrav = 0, nat = 5, ntyp = 3
/
ATOMIC_SPECIES
La 138.91 La.upf
Cr 52.00 Cr.upf
Bi 208.98 Bi.upf
CELL_PARAMETERS angstrom
5.300 0.000 0.000
0.000 5.300 0.000
0.000 0.000 5.300
ATOMIC_POSITIONS crystal
La 0.000 0.000 0.500
La 0.000 0.500 0.000
La 0.500 0.000 0.000
Cr 0.000 0.000 0.000
Bi 0.500 0.500 0.500
! - E (eV/atom) = -5.851
! - energy of formation from the pure elements (kcal/mol of atoms) = -4.5
! - excess energy over the best structure of this formula in the dataset (eV/atom) = 0.000
! - N(E_F) (states/eV/cell) = 2.38

(4)
! Ce7SnRh2, relaxed, DFT PBE-GGA; values from VASP
&SYSTEM
  ibrav = 0, nat = 10, ntyp = 3
/
ATOMIC_SPECIES
Ce 140.12 Ce.upf
Sn 118.71 Sn.upf
Rh 102.91 Rh.upf
CELL_PARAMETERS angstrom
4.674 -6.475 0.000
4.674 6.475 0.000
0.000 0.000 5.135
ATOMIC_POSITIONS crystal
Ce 0.000 0.000 0.000
Ce 0.207 0.422 0.000
Ce 0.228 0.772 0.500
Ce 0.422 0.207 0.000
Ce 0.578 0.793 0.000
Ce 0.772 0.228 0.500
Ce 0.793 0.578 0.000
Sn 0.500 0.500 0.500
Rh 0.201 0.799 0.000
Rh 0.799 0.201 0.000
! - E (eV/atom) = -6.217
! - energy of formation from the pure elements (kcal/mol of atoms) = -4.4
! - N(E_F) (states/eV/cell) = 32.23

(5)
! Er4Mg3Zn, relaxed, DFT PBE-GGA; values from VASP
&SYSTEM
  ibrav = 0, nat = 8, ntyp = 3
/
ATOMIC_SPECIES
Er 167.26 Er.upf
Mg 24.30 Mg.upf
Zn 65.41 Zn.upf
CELL_PARAMETERS angstrom
3.644 0.000 0.000
0.000 3.644 0.000
0.000 0.000 15.365
ATOMIC_POSITIONS crystal
Er 0.000 0.000 0.110
Er 0.000 0.000 0.370
Er 0.000 0.000 0.630
Er 0.000 0.000 0.890
Mg 0.500 0.500 0.242
Mg 0.500 0.500 0.500
Mg 0.500 0.500 0.758
Zn 0.500 0.500 0.000
! - E (eV/atom) = -3.171
! - energy of formation from the pure elements (kcal/mol of atoms) = -3.0
! - excess energy over the best structure of this formula in the dataset (eV/atom) = 0.000
! - N(E_F) (states/eV/cell) = 9.90

(6)
! TbDyTl2, relaxed, DFT PBE-GGA; values from VASP
&SYSTEM
  ibrav = 0, nat = 4, ntyp = 3
/
ATOMIC_SPECIES
Tb 158.93 Tb.upf
Dy 162.50 Dy.upf
Tl 204.38 Tl.upf
CELL_PARAMETERS angstrom
3.800 0.000 0.000
0.000 3.800 0.000
0.000 0.000 7.584
ATOMIC_POSITIONS crystal
Tb 0.000 0.000 0.000
Dy 0.000 0.000 0.500
Tl 0.500 0.500 0.251
Tl 0.500 0.500 0.749
! - E (eV/atom) = -3.842
! - energy of formation from the pure elements (kcal/mol of atoms) = -8.1
! - N(E_F) (states/eV/cell) = 2.92